# 1
PaBOs2C, relaxed, DFT GGA-PBE; space group = Cmcm (63); E_form = -1.15 eV/f.u.; density = 15.19 g cm⁻³; N(E_F) = 0.626 states/eV/atom
1.0
-2.271 0.775 2.753
-0.355 -5.598 -1.139
5.133 -1.260 4.590
Pa B Os C
2 2 4 2
Cartesian
2.506 -5.642 3.656
0.001 -0.440 2.547
2.022 -2.976 4.929
0.485 -3.107 1.275
4.285 -2.995 4.379
-1.778 -3.087 1.825
2.376 -2.527 2.672
0.131 -3.556 3.532
0.000 0.000 0.000
2.567 -0.630 2.295



# 2
PmBOsC, relaxed, DFT GGA-PBE; space group = P4/nmm (129); E_form = -0.73 eV/f.u.; density = 10.47 g cm⁻³; N(E_F) = 0.705 states/eV/atom
1.0
3.741 0.000 0.000
0.000 3.741 0.000
0.000 0.000 8.111
Pm B Os C
2 2 2 2
Cartesian
0.000 1.871 6.787
1.871 0.000 1.324
0.000 1.871 2.724
1.871 0.000 5.387
0.000 0.000 4.055
1.871 1.871 4.055
1.871 0.000 6.908
0.000 1.871 1.202



# 3
Pm2B2Os2C, relaxed, DFT GGA-PBE; space group = C2/m (12); E_form = -2.92 eV/f.u.; density = 10.35 g cm⁻³; N(E_F) = 0.570 states/eV/atom
1.0
-2.083 -1.295 2.856
-5.288 -1.308 -1.968
-0.525 -5.926 -0.588
Pm B Os C
2 2 2 1
Cartesian
-2.534 -4.992 0.851
-5.362 -3.537 -0.551
-2.498 -2.154 -0.317
-5.397 -6.375 0.617
-4.551 -6.520 -1.313
-3.344 -2.009 1.613
0.000 0.000 0.000



Q: Look up the E_form of the third one.
A: -2.92 eV/f.u.



What did the first record say?
PaBOs2C, relaxed, DFT GGA-PBE; space group = Cmcm (63); E_form = -1.15 eV/f.u.; density = 15.19 g cm⁻³; N(E_F) = 0.626 states/eV/atom
1.0
-2.271 0.775 2.753
-0.355 -5.598 -1.139
5.133 -1.260 4.590
Pa B Os C
2 2 4 2
Cartesian
2.506 -5.642 3.656
0.001 -0.440 2.547
2.022 -2.976 4.929
0.485 -3.107 1.275
4.285 -2.995 4.379
-1.778 -3.087 1.825
2.376 -2.527 2.672
0.131 -3.556 3.532
0.000 0.000 0.000
2.567 -0.630 2.295



Q: Number 3 is which compound?
A: Pm2B2Os2C